[1]
A plane-wave DFT calculation with PBE was carried out for a relaxed structure of Pm4ZnHg3.

a b c (Å): 3.759 3.759 15.202
angles (deg): 90.00 90.00 90.00
Fractional positions:
Pm 0.000 0.000 0.886
Pm 0.000 0.000 0.628
Pm 0.000 0.000 0.372
Pm 0.000 0.000 0.114
Hg 0.500 0.500 0.758
Hg 0.500 0.500 0.500
Hg 0.500 0.500 0.242
Zn 0.500 0.500 0.000

Results
- space-group type = No. 123
- DFT formation energy (eV per atom) = -0.44
- crystal system = tetragonal


[2]
A plane-wave DFT calculation with PBE was carried out for a relaxed structure of Sm2DyPa.

a b c (Å): 3.363 3.363 12.517
angles (deg): 82.28 82.28 60.00
Fractional positions:
Pa 0.000 0.000 0.000
Dy 0.500 0.500 0.500
Sm 0.913 0.913 0.261
Sm 0.087 0.087 0.739

Results
- space-group type = No. 166
- DFT formation energy (eV per atom) = 0.30
- crystal system = trigonal


[3]
A plane-wave DFT calculation with PBE was carried out for a relaxed structure of CaMg4Cu2.

a b c (Å): 7.322 7.322 7.322
angles (deg): 110.50 110.50 107.45
Fractional positions:
Mg 0.736 0.736 0.290
Mg 0.947 0.236 0.000
Mg 0.264 0.553 0.000
Mg 0.447 0.447 0.710
Mg 0.764 0.764 0.710
Mg 0.236 0.947 0.000
Mg 0.053 0.053 0.290
Mg 0.553 0.264 0.000
Cu 0.902 0.598 0.000
Cu 0.598 0.902 0.000
Cu 0.098 0.098 0.696
Cu 0.402 0.402 0.304
Ca 0.000 0.500 0.500
Ca 0.500 0.000 0.500

Results
- space-group type = No. 140
- DFT formation energy (eV per atom) = 0.04
- crystal system = tetragonal


[4]
A plane-wave DFT calculation with PBE was carried out for a relaxed structure of Mg17Sc2.

a b c (Å): 7.739 7.739 7.739
angles (deg): 81.40 81.40 81.40
Fractional positions:
Mg 0.311 0.689 0.000
Mg 0.352 0.352 0.840
Mg 0.000 0.000 0.500
Mg 0.648 0.160 0.648
Mg 0.648 0.648 0.160
Mg 0.311 0.000 0.689
Mg 0.160 0.648 0.648
Mg 0.901 0.901 0.901
Mg 0.500 0.000 0.000
Mg 0.840 0.352 0.352
Mg 0.000 0.500 0.000
Mg 0.352 0.840 0.352
Mg 0.689 0.000 0.311
Mg 0.000 0.689 0.311
Mg 0.099 0.099 0.099
Mg 0.689 0.311 0.000
Mg 0.000 0.311 0.689
Sc 0.682 0.682 0.682
Sc 0.318 0.318 0.318

Results
- space-group type = No. 166
- DFT formation energy (eV per atom) = 0.06
- crystal system = trigonal


| no. | electronic total energy (eV per atom) | Fermi-level density of states (states/eV/f.u.) |
| --- | --- | --- |
| 1 | -3.084 | 8.62 |
| 2 | -5.585 | 5.47 |
| 3 | -2.323 | 4.48 |
| 4 | -2.033 | 8.76 |